DFT (SCAN) results for a crystal of Tc3Ir relaxed with PBEsol.

Output
Energy relative to the elements = -0.160 eV/atom
Total energy = -44.230 eV per atom

Unit cell a=2.721 b=2.721 c=8.689 alpha=90.00 beta=90.00 gamma=120.00
Fractional positions:
Tc 0.000 0.000 0.000
Tc 0.667 0.333 0.249
Tc 0.667 0.333 0.751
Ir 0.000 0.000 0.500